# 1
Hf4NiSnC2 | PBE-GGA | optimized geometry

- Size of the total moment: 0.00 μB per formula unit
- Space-group type: P-6m2
- Total energy: -9.14 eV/atom

Unit cell a=3.301 b=3.301 c=13.725 alpha=90.00 beta=90.00 gamma=120.00
Element x y z (fractional)
Hf1 0.667 0.333 0.862
Hf2 0.000 0.000 0.324
Hf3 0.667 0.333 0.138
Hf4 0.000 0.000 0.676
Ni1 0.000 0.000 0.000
C1 0.333 0.667 0.764
C2 0.333 0.667 0.236
Sn1 0.667 0.333 0.500

---

# 2
ZnSnPO | PBE-GGA | optimized geometry

- ΔE to the lowest computed polymorph: 0.20 eV/f.u.
- Space-group type: P4/nmm
- Total energy: -4.46 eV/atom

Unit cell a=3.810 b=3.810 c=9.262 alpha=90.00 beta=90.00 gamma=90.00
Element x y z (fractional)
P1 0.500 0.000 0.335
P2 0.000 0.500 0.665
Zn1 0.500 0.500 0.500
Zn2 0.000 0.000 0.500
O1 0.500 0.500 0.000
O2 0.000 0.000 0.000
Sn1 0.000 0.500 0.128
Sn2 0.500 0.000 0.872

---

# 3
Mg5HgAu4 | PBE-GGA | optimized geometry

- Space-group type: P4/mmm
- Total energy: -2.65 eV/atom

Unit cell a=3.334 b=3.334 c=16.652 alpha=90.00 beta=90.00 gamma=90.00
Element x y z (fractional)
Mg1 0.500 0.500 0.694
Mg2 0.500 0.500 0.306
Mg3 0.500 0.500 0.113
Mg4 0.500 0.500 0.887
Mg5 0.500 0.500 0.500
Au1 0.000 0.000 0.208
Au2 0.000 0.000 0.597
Au3 0.000 0.000 0.403
Au4 0.000 0.000 0.792
Hg1 0.000 0.000 0.000

---

# 4
DyHgNO | PBE-GGA | optimized geometry

- Size of the total moment: 0.00 μB per formula unit
- ΔE to the lowest computed polymorph: 0.04 eV/f.u.
- Space-group type: Pca2_1
- Total energy: -5.74 eV/atom

Unit cell a=6.463 b=7.574 c=6.270 alpha=90.00 beta=90.00 gamma=90.00
Element x y z (fractional)
O1 0.372 0.564 0.196
O2 0.128 0.564 0.696
O3 0.628 0.436 0.696
O4 0.872 0.436 0.196
Dy1 0.918 0.381 0.535
Dy2 0.418 0.619 0.535
Dy3 0.082 0.619 0.035
Dy4 0.582 0.381 0.035
N1 0.036 0.115 0.602
N2 0.464 0.115 0.102
N3 0.536 0.885 0.602
N4 0.964 0.885 0.102
Hg1 0.773 0.894 0.370
Hg2 0.273 0.106 0.370
Hg3 0.727 0.894 0.870
Hg4 0.227 0.106 0.870

---

# 5
YFeSbAu | PBE-GGA | optimized geometry

- Size of the total moment: 2.84 μB per formula unit
- ΔE to the lowest computed polymorph: 0.00 eV/f.u.
- Space-group type: F-43m
- Total energy: -5.78 eV/atom

Unit cell a=4.911 b=4.911 c=4.911 alpha=60.00 beta=60.00 gamma=60.00
Element x y z (fractional)
Y1 0.250 0.250 0.250
Au1 0.500 0.500 0.500
Sb1 0.000 0.000 0.000
Fe1 0.750 0.750 0.750

---

# 6
NbGaCoAu | PBE-GGA | optimized geometry

- Size of the total moment: 0.13 μB per formula unit
- ΔE to the lowest computed polymorph: 0.00 eV/f.u.
- Space-group type: F-43m
- Total energy: -5.93 eV/atom

Unit cell a=4.403 b=4.403 c=4.403 alpha=60.00 beta=60.00 gamma=60.00
Element x y z (fractional)
Co1 0.500 0.500 0.500
Nb1 0.250 0.250 0.250
Ga1 0.000 0.000 0.000
Au1 0.750 0.750 0.750